<P>
Material: LiMn3Br
Method: DFT, GGA-PBE
State: relaxed

abc: 4.595 4.595 4.595
angles: 90.00 90.00 90.00
Atoms (fractional coordinates):
Li 0.000 0.000 0.000
Mn 0.000 0.000 0.500
Mn 0.000 0.500 0.000
Mn 0.500 0.000 0.000
Br 0.500 0.500 0.500

Computed properties:
Symmetry ... Pm-3m, No. 221
Size of the total moment ... 12.3 μB per formula unit

=====

<Q>
Material: LiMn3Br
Method: DFT, GGA-PBE
State: relaxed

abc: 4.574 4.574 4.574
angles: 90.00 90.00 90.00
Atoms (fractional coordinates):
Li 0.000 0.000 0.000
Mn 0.000 0.500 0.500
Mn 0.500 0.000 0.500
Mn 0.500 0.500 0.000
Br 0.500 0.500 0.500

Computed properties:
Symmetry ... Pm-3m, No. 221
Size of the total moment ... 9.2 μB per formula unit

=====

Which one is most stable, and which one is least stable? <Q> is the most stable of them, while <P> is the least stable.

=====

<P>
Material: LiMnBr6
Method: DFT, GGA-PBE
State: relaxed

abc: 7.431 10.116 6.591
angles: 90.00 94.15 90.00
Atoms (fractional coordinates):
Li 0.000 0.000 0.000
Li 0.500 0.500 0.000
Mn 0.000 0.000 0.500
Mn 0.500 0.500 0.500
Br 0.142 0.166 0.729
Br 0.142 0.834 0.729
Br 0.234 0.500 0.703
Br 0.266 0.000 0.297
Br 0.358 0.334 0.271
Br 0.358 0.666 0.271
Br 0.642 0.334 0.729
Br 0.642 0.666 0.729
Br 0.734 0.000 0.703
Br 0.766 0.500 0.297
Br 0.858 0.166 0.271
Br 0.858 0.834 0.271

Computed properties:
Symmetry ... C2/m, No. 12
Size of the total moment ... 3.0 μB per formula unit

=====

<Q>
Material: LiMnBr6
Method: DFT, GGA-PBE
State: relaxed

abc: 6.841 6.841 6.841
angles: 57.65 57.65 57.65
Atoms (fractional coordinates):
Li 0.000 0.000 0.000
Mn 0.500 0.500 0.500
Br 0.104 0.436 0.717
Br 0.283 0.896 0.564
Br 0.436 0.717 0.104
Br 0.564 0.283 0.896
Br 0.717 0.104 0.436
Br 0.896 0.564 0.283

Computed properties:
Symmetry ... R-3, No. 148
Size of the total moment ... 2.1 μB per formula unit

=====

Which one is most stable, and which one is least stable? <P> is the most stable of them, while <Q> is the least stable.